# 1
The following is a PBE calculation of PmPrSeBr after structural relaxation, from Alexandria via LeMat-Bulk.

```
PmPrSeBr
1.0
6.990 0.000 0.000
0.000 4.039 0.000
-2.322 0.000 7.963
Pm Pr Se Br
2 2 2 2
Cartesian
0.000 0.000 0.000 Pm
3.495 2.019 0.000 Pm
0.004 0.000 4.523 Pr
3.499 2.019 4.523 Pr
-1.158 2.019 6.264 Se
2.336 0.000 6.264 Se
2.331 0.000 2.199 Br
5.826 2.019 2.199 Br
```

* symmetry: Cm
* crystal system: monoclinic
* ΔE to the lowest computed polymorph: 0.00 eV per formula unit
* formation energy from raw total energies: -1.4477 eV per atom
* spin magnetization: 0.00 μB/cell
* DOS(E_F): 6.01 states/eV per cell
* raw total energy: -20.478 eV per formula unit
* theoretical density: 6.6 Mg/m³

***

# 2
The following is a PBE calculation of Na4Np3SbSe8 after structural relaxation, from Alexandria via LeMat-Bulk.

```
Na4Np3SbSe8
1.0
4.199 2.424 6.981
-4.199 2.424 6.981
0.000 -4.848 6.981
Na Np Sb Se
4 3 1 8
Cartesian
0.000 0.000 0.000 Na
-2.099 -1.212 6.981 Na
-2.099 1.212 13.963 Na
0.000 2.424 6.981 Na
-4.199 0.000 10.472 Np
-2.099 1.212 3.491 Np
2.099 1.212 3.491 Np
0.000 0.000 10.472 Sb
0.000 0.000 5.095 Se
-2.101 -1.213 12.091 Se
0.000 -2.426 8.853 Se
-2.101 1.213 8.853 Se
2.101 -1.213 12.091 Se
0.000 2.426 12.091 Se
2.101 1.213 8.853 Se
0.000 0.000 15.849 Se
```

* symmetry: R-3m
* crystal system: trigonal
* formation energy from raw total energies: -1.0513 eV per atom
* spin magnetization: 12.00 μB/cell
* DOS(E_F): 31.80 states/eV per cell
* raw total energy: -92.918 eV per formula unit
* theoretical density: 6.1 Mg/m³

***

# 3
The following is a PBE calculation of La2Tb12Nd5 after structural relaxation, from Alexandria via LeMat-Bulk.

```
La2Tb12Nd5
1.0
6.891 0.000 0.000
2.953 6.235 0.000
2.673 -0.489 14.925
La Tb Nd
2 12 5
Cartesian
1.760 0.055 0.482 La
10.756 5.691 14.442 La
3.359 1.064 12.292 Tb
2.088 0.224 6.261 Tb
4.989 4.123 11.258 Tb
7.181 5.833 9.154 Tb
4.130 1.524 2.818 Tb
5.742 4.567 3.670 Tb
6.774 1.179 11.255 Tb
8.386 4.222 12.107 Tb
5.335 -0.086 5.771 Tb
7.527 1.623 3.667 Tb
10.428 5.522 8.664 Tb
9.158 4.682 2.633 Tb
3.183 3.276 5.752 Nd
5.893 2.673 14.402 Nd
6.258 2.873 7.462 Nd
6.623 3.073 0.523 Nd
9.334 2.470 9.172 Nd
```

* symmetry: P-1
* crystal system: triclinic
* ΔE to the lowest computed polymorph: 0.00 eV per formula unit
* spin magnetization: 0.00 μB/cell
* DOS(E_F): 30.60 states/eV per cell
* raw total energy: -87.459 eV per formula unit
* theoretical density: 7.5 Mg/m³

***

# 4
The following is a PBE calculation of Sb2TeICl after structural relaxation, from Alexandria via LeMat-Bulk.

```
Sb2TeICl
1.0
5.499 0.000 0.000
0.000 5.499 0.000
0.000 0.000 5.512
Sb Te I Cl
2 1 1 1
Cartesian
0.000 2.749 0.000 Sb
2.749 0.000 0.000 Sb
0.000 0.000 2.756 Te
2.749 2.749 2.756 I
0.000 0.000 0.000 Cl
```

* symmetry: P4/mmm
* crystal system: tetragonal
* ΔE to the lowest computed polymorph: 0.83 eV per formula unit
* formation energy from raw total energies: 0.7580 eV per atom
* spin magnetization: 0.00 μB/cell
* DOS(E_F): 5.71 states/eV per cell
* raw total energy: -10.993 eV per formula unit
* theoretical density: 5.3 Mg/m³

***

# 5
The following is a PBE calculation of LiAcTmNi after structural relaxation, from Alexandria via LeMat-Bulk.

```
LiAcTmNi
1.0
7.261 0.000 0.000
0.000 7.261 0.000
0.000 0.000 7.261
Li Ac Tm Ni
4 4 4 4
Cartesian
0.000 0.000 0.000 Li
0.000 3.631 3.631 Li
3.631 0.000 3.631 Li
3.631 3.631 0.000 Li
1.815 1.815 5.446 Ac
1.815 5.446 1.815 Ac
5.446 1.815 1.815 Ac
5.446 5.446 5.446 Ac
1.815 1.815 1.815 Tm
1.815 5.446 5.446 Tm
5.446 1.815 5.446 Tm
5.446 5.446 1.815 Tm
0.000 0.000 3.631 Ni
0.000 3.631 0.000 Ni
3.631 0.000 0.000 Ni
3.631 3.631 3.631 Ni
```

* symmetry: F-43m
* crystal system: cubic
* spin magnetization: 0.00 μB/cell
* DOS(E_F): 11.05 states/eV per cell
* raw total energy: -16.397 eV per formula unit
* theoretical density: 8.0 Mg/m³

***

# 6
The following is a PBE calculation of LaPdRu after structural relaxation, from Alexandria via LeMat-Bulk.

```
LaPdRu
1.0
10.298 0.000 0.000
0.000 4.377 0.000
-0.689 0.000 5.694
La Pd Ru
4 4 4
Cartesian
0.000 0.000 0.000 La
0.778 2.189 2.964 La
5.149 2.189 0.000 La
5.926 0.000 2.964 La
2.108 2.189 0.182 Pd
2.640 0.000 4.434 Pd
7.257 0.000 0.182 Pd
7.789 2.189 4.434 Pd
3.171 0.000 1.644 Ru
3.590 2.189 2.647 Ru
8.320 2.189 1.644 Ru
8.739 0.000 2.647 Ru
```

* symmetry: Cm
* crystal system: monoclinic
* ΔE to the lowest computed polymorph: 0.28 eV per formula unit
* spin magnetization: 0.00 μB/cell
* DOS(E_F): 10.00 states/eV per cell
* raw total energy: -20.505 eV per formula unit
* theoretical density: 9.0 Mg/m³

***

# 7
The following is a PBE calculation of Sm2ZnPd2 after structural relaxation, from Alexandria via LeMat-Bulk.

```
Sm2ZnPd2
1.0
4.983 -2.826 0.000
4.983 2.826 0.000
-2.183 0.000 7.724
Sm Zn Pd
4 2 4
Cartesian
1.159 0.817 1.151 Sm
0.067 -0.817 5.013 Sm
7.717 0.817 2.711 Sm
6.625 -0.817 6.573 Sm
4.438 0.961 1.931 Zn
3.346 -0.961 5.793 Zn
2.585 0.741 3.843 Pd
1.494 -0.741 7.705 Pd
6.290 0.741 0.019 Pd
5.199 -0.741 3.881 Pd
```

* symmetry: C2/c
* crystal system: monoclinic
* spin magnetization: 0.00 μB/cell
* DOS(E_F): 6.44 states/eV per cell
* raw total energy: -24.735 eV per formula unit
* theoretical density: 8.8 Mg/m³

***

# 8
The following is a PBE calculation of MgTa2Te after structural relaxation, from Alexandria via LeMat-Bulk.

```
MgTa2Te
1.0
3.257 0.000 0.000
0.000 3.257 0.000
0.000 0.000 7.510
Mg Ta Te
1 2 1
Cartesian
0.000 0.000 0.000 Mg
1.628 1.628 2.015 Ta
1.628 1.628 5.496 Ta
0.000 0.000 3.755 Te
```

* symmetry: P4/mmm
* crystal system: tetragonal
* ΔE to the lowest computed polymorph: 1.19 eV per formula unit
* formation energy from raw total energies: 0.4132 eV per atom
* spin magnetization: 0.00 μB/cell
* DOS(E_F): 1.74 states/eV per cell
* raw total energy: -26.789 eV per formula unit
* theoretical density: 10.7 Mg/m³

***

# 9
The following is a PBE calculation of LaTaRh after structural relaxation, from Alexandria via LeMat-Bulk.

```
LaTaRh
1.0
3.285 0.000 0.000
0.000 3.285 0.000
0.000 0.000 12.197
La Ta Rh
2 2 2
Cartesian
0.000 0.000 0.000 La
1.643 1.643 6.099 La
0.000 0.000 8.551 Ta
1.643 1.643 2.452 Ta
0.000 0.000 3.667 Rh
1.643 1.643 9.766 Rh
```

* symmetry: I4mm
* crystal system: tetragonal
* ΔE to the lowest computed polymorph: 0.00 eV per formula unit
* spin magnetization: 0.00 μB/cell
* DOS(E_F): 6.32 states/eV per cell
* raw total energy: -24.698 eV per formula unit
* theoretical density: 10.7 Mg/m³

***

# 10
The following is a PBE calculation of AgTe6Pd2 after structural relaxation, from Alexandria via LeMat-Bulk.

```
AgTe6Pd2
1.0
6.321 0.000 0.000
0.000 6.321 0.000
0.000 0.000 12.981
Ag Te Pd
2 12 4
Cartesian
0.000 0.000 0.000 Ag
3.160 3.160 6.491 Ag
1.114 1.114 6.491 Te
1.233 1.233 2.244 Te
1.233 1.233 10.737 Te
1.928 4.393 4.246 Te
1.928 4.393 8.735 Te
2.047 4.274 0.000 Te
4.274 2.047 0.000 Te
4.393 1.928 4.246 Te
4.393 1.928 8.735 Te
5.088 5.088 2.244 Te
5.088 5.088 10.737 Te
5.207 5.207 6.491 Te
0.000 0.000 4.301 Pd
0.000 0.000 8.681 Pd
3.160 3.160 2.190 Pd
3.160 3.160 10.791 Pd
```

* symmetry: P4_2/mnm
* crystal system: tetragonal
* ΔE to the lowest computed polymorph: 1.66 eV per formula unit
* formation energy from raw total energies: 0.0069 eV per atom
* spin magnetization: 0.00 μB/cell
* DOS(E_F): 21.29 states/eV per cell
* raw total energy: -32.025 eV per formula unit
* theoretical density: 7.0 Mg/m³

***

# 11
The following is a PBE calculation of ScBeZn2Au4 after structural relaxation, from Alexandria via LeMat-Bulk.

```
ScBeZn2Au4
1.0
2.253 1.301 7.483
-2.253 1.301 7.483
0.000 -2.601 7.483
Sc Be Zn Au
1 1 2 4
Cartesian
0.000 0.000 0.000 Sc
0.000 0.000 11.224 Be
0.000 0.000 5.762 Zn
0.000 0.000 16.685 Zn
0.000 0.000 2.974 Au
0.000 0.000 8.804 Au
0.000 0.000 13.644 Au
0.000 0.000 19.474 Au
```

* symmetry: R-3m
* crystal system: trigonal
* spin magnetization: 0.00 μB/cell
* DOS(E_F): 2.41 states/eV per cell
* raw total energy: -28.490 eV per formula unit
* theoretical density: 12.3 Mg/m³

***

# 12
The following is a PBE calculation of LaTb2Sm5Sc after structural relaxation, from Alexandria via LeMat-Bulk.

```
LaTb2Sm5Sc
1.0
2.835 -9.991 0.000
2.835 9.991 0.000
0.000 0.000 10.505
La Tb Sm Sc
2 4 10 2
Cartesian
2.835 8.272 5.252 La
2.835 -8.272 0.000 La
2.835 2.295 8.168 Tb
2.835 2.248 3.753 Tb
2.835 -2.248 9.006 Tb
2.835 -2.295 2.916 Tb
2.835 9.668 8.244 Sm
2.835 7.484 0.657 Sm
2.835 5.929 7.868 Sm
2.835 5.541 3.838 Sm
2.835 0.364 0.662 Sm
2.835 -0.364 5.914 Sm
2.835 -5.541 9.091 Sm
2.835 -5.929 2.616 Sm
2.835 -7.484 5.909 Sm
2.835 -9.668 2.992 Sm
2.835 3.918 0.597 Sc
2.835 -3.918 5.850 Sc
```

* symmetry: Cmc2_1
* crystal system: orthorhombic
* spin magnetization: 0.00 μB/cell
* DOS(E_F): 28.22 states/eV per cell
* raw total energy: -42.621 eV per formula unit
* theoretical density: 7.0 Mg/m³

***

Q: Which formula does entry 10 have?
A: AgTe6Pd2

***

Q: The highest DOS(E_F) belongs to which entry?
A: Na4Np3SbSe8